24
Lattice="-3.743 -1.513 -3.599 5.489 0.795 -6.041 2.219 -7.833 0.986" Properties=species:S:1:pos:R:3 comment="Ba2CoSi2O7 PBEsol relaxed" de_polymorph_kj_per_mol_atoms=0.5 total_energy_ev_per_atom=-7.60 pbc="T T T"
O 0.662 -3.085 -1.348
Ba 2.350 -5.093 -0.375
Co -1.871 -0.757 -1.800
Ba 1.795 -7.509 -6.763
Co 1.983 -4.276 -4.327
O 5.244 -4.681 -5.441
Ba -1.505 -2.528 -5.427
O 4.318 -6.609 -7.207
O 2.642 -5.586 -3.029
O 2.558 -5.002 -6.053
O 1.393 -0.149 -4.320
O -1.282 -4.883 -1.807
O 0.971 -1.727 -6.454
O 1.896 -7.556 -1.425
Si -0.459 -3.549 -2.410
Si 2.075 -1.265 -5.373
Ba 5.291 -1.972 -4.745
O 2.643 -2.432 -4.356
O -1.672 -2.476 -2.717
Si 2.182 -7.168 -3.001
O 0.088 -4.083 -3.871
Si 4.133 -5.120 -6.525
O 1.054 -7.609 -4.067
O 3.389 -0.462 -5.961

---

24
Lattice="-3.871 -5.623 0.132 1.473 1.092 6.577 -5.518 6.127 -1.808" Properties=species:S:1:pos:R:3 comment="Ba2CoSi2O7 PBEsol relaxed" de_polymorph_kj_per_mol_atoms=0.0 total_energy_ev_per_atom=-7.61 pbc="T T T"
O -4.937 -2.015 -0.419
O -2.973 1.391 3.659
O -4.453 3.442 3.066
Si -3.405 -3.412 2.453
O -5.162 1.946 5.063
Ba -4.975 -0.552 3.971
Co -1.279 0.900 4.471
O -4.084 -3.229 3.940
O -0.604 -0.872 4.053
Si -3.817 2.601 4.380
O -3.742 6.017 3.446
O -3.464 -1.846 1.835
Si -4.511 5.008 2.448
O -4.175 -4.421 1.456
O -2.755 -0.351 -0.161
Ba -1.780 -3.068 5.401
O -2.980 3.611 5.321
O -3.833 4.825 0.962
Si -4.100 -1.005 0.521
O -7.312 2.468 0.849
Ba -2.941 2.147 0.930
Co -6.638 0.696 0.431
Ba -6.136 4.663 -0.499
O -4.944 0.205 1.242

---

10
Lattice="-4.376 -2.605 -2.392 -3.794 -2.644 3.204 -5.182 2.121 0.554" Properties=species:S:1:pos:R:3 comment="BaSrCoWO6 PBEsol relaxed" total_energy_ev_per_atom=-8.02 pbc="T T T"
O -5.494 -2.099 -0.898
Sr -3.338 -0.782 0.342
O -7.859 -1.029 2.265
O -5.194 -2.120 1.980
O -5.908 0.331 0.617
O -8.159 -1.008 -0.613
O -7.445 -3.459 0.750
W 0.000 0.000 0.000
Co -6.676 -1.564 0.683
Ba -10.015 -2.346 1.025

---

26
Lattice="-2.585 -4.150 3.843 5.369 -1.321 -2.845 5.095 4.007 7.755" Properties=species:S:1:pos:R:3 comment="BaYCo4O7 PBEsol relaxed" total_energy_ev_per_atom=-7.50 pbc="T T T"
Ba 0.144 -3.145 1.732
Co 6.887 -0.685 6.520
Co 0.075 0.059 0.115
Y 3.396 -1.730 0.416
O 5.275 0.294 6.271
Co 2.623 2.063 3.992
O 6.475 2.838 7.422
Co 8.236 1.480 4.515
Ba 5.343 -0.199 3.380
Co 0.270 -2.450 5.193
O 1.308 -1.672 6.560
O 3.927 -2.316 5.173
O 2.569 0.352 4.686
O 7.833 0.170 7.908
O 6.510 2.277 4.434
Co 5.434 2.169 5.999
O 1.375 -3.735 4.328
O 7.841 -0.337 4.911
Co 1.619 -0.285 3.188
O 1.136 0.894 1.730
O 3.684 2.897 5.607
O 2.611 -1.751 2.492
O 0.044 -1.120 3.852
Co 3.071 -3.139 3.708
Y 3.292 -0.670 6.523
O 9.094 2.194 6.034

---

36
Lattice="-4.403 0.130 -3.577 -3.927 -3.370 4.711 -3.504 10.655 4.701" Properties=species:S:1:pos:R:3 comment="BaY2CoO5 PBEsol relaxed" total_energy_ev_per_atom=-8.28 pbc="T T T"
O -1.754 0.882 -0.059
Y -6.465 0.224 1.214
Ba -7.058 5.075 2.121
O -5.229 6.105 6.647
O -5.292 7.324 2.268
O -4.415 1.245 0.968
O -7.483 7.389 0.488
Ba -3.965 0.898 -1.838
Y -8.885 7.938 4.473
O -7.420 6.170 4.867
Ba -4.777 2.340 3.714
O -6.948 2.390 1.888
O -4.352 0.026 5.347
Co -4.813 -1.078 3.634
O -6.577 4.198 -0.703
O -7.410 3.281 4.790
O -5.036 -1.514 1.694
O -2.885 -1.577 3.442
Co -7.022 8.493 2.201
O -4.425 4.134 1.045
Y -2.950 -0.523 1.362
O -4.887 5.025 3.947
O -6.606 1.310 -0.812
O -6.799 8.929 4.141
Y -5.370 7.191 4.620
O -6.543 0.091 3.567
O -10.081 6.533 5.894
Y -8.338 1.575 3.569
Ba -7.870 6.517 7.673
O -8.950 8.992 2.393
Y -2.595 2.741 1.043
Y -9.240 4.674 4.792
O -5.258 3.217 6.538
Co -5.738 2.763 0.412
Co -6.096 4.652 5.423
Y -3.496 5.840 2.265

---

9
Lattice="-2.331 -2.991 -0.145 2.978 -2.296 -0.510 0.605 -0.821 7.225" Properties=species:S:1:pos:R:3 comment="BaYCo2O5 PBEsol relaxed" total_energy_ev_per_atom=-7.69 pbc="T T T"
Y 0.302 -0.410 3.613
Co 0.482 -2.858 1.564
O -0.746 -2.064 4.935
Ba 0.000 0.000 0.000
O 1.908 -1.717 4.753
Co 0.770 -3.249 5.007
O -0.980 -1.747 2.145
O 1.675 -1.400 1.962
O 0.324 -2.643 -0.327

---

26
Lattice="6.321 0.000 0.000 -3.160 5.474 0.000 0.000 0.000 10.263" Properties=species:S:1:pos:R:3 comment="BaYZn3CoO7 PBEsol relaxed" total_energy_ev_per_atom=-6.41 pbc="T T T"
Zn 4.705 0.933 1.884
O 4.801 0.877 10.166
O 0.000 0.000 7.695
Zn 3.160 3.608 1.884
O -1.641 4.597 5.035
Ba 3.160 1.825 5.309
O 3.160 3.720 10.166
O 4.665 2.693 7.527
Zn -1.545 4.541 7.016
O 1.519 0.877 10.166
Zn 1.545 4.541 7.016
Zn 0.000 1.865 7.016
Zn 1.615 0.933 1.884
O 0.000 0.000 2.563
O 1.505 2.780 2.395
Co 0.000 0.000 9.580
O 0.000 5.387 2.395
Co 0.000 0.000 4.449
O 1.641 4.597 5.035
Ba 0.000 3.649 0.178
Y 3.160 1.825 8.906
O 0.000 1.754 5.035
Y 0.000 3.649 3.775
O -1.505 2.780 2.395
O 1.655 2.693 7.527
O 3.160 0.087 7.527

---

4
Lattice="3.421 0.000 0.000 0.000 3.421 0.000 0.000 0.000 9.329" Properties=species:S:1:pos:R:3 comment="Ba2CoOs PBEsol relaxed" de_polymorph_kj_per_mol_atoms=0.0 total_energy_ev_per_atom=-5.44 e_form_ev_per_atom=0.625 pbc="T T T"
Os 1.710 1.710 6.090
Co 0.000 0.000 5.567
Ba 0.000 0.000 8.480
Ba 1.710 1.710 3.186

---

6
Lattice="-4.672 0.490 4.484 -5.967 -2.225 -1.271 -2.188 -5.325 3.005" Properties=species:S:1:pos:R:3 comment="Ba4CoOs PBEsol relaxed" total_energy_ev_per_atom=-3.09 e_form_ev_per_atom=1.665 pbc="T T T"
Ba -7.798 -3.761 1.691
Os 0.000 0.000 0.000
Ba -4.804 -2.644 2.329
Ba -5.902 -5.316 3.836
Co -9.620 -5.295 4.663
Ba -7.148 -2.399 4.578

---

4
Lattice="-1.498 0.121 -3.297 0.462 -3.573 -0.341 -7.059 -1.216 3.164" Properties=species:S:1:pos:R:3 comment="Ba2CoOs PBEsol relaxed" de_polymorph_kj_per_mol_atoms=52.7 total_energy_ev_per_atom=-4.89 e_form_ev_per_atom=1.171 pbc="T T T"
Os -0.518 -1.726 -1.819
Ba -5.328 -0.918 2.388
Ba -1.731 -0.298 0.776
Co -4.048 -2.334 -0.237

---

5
Lattice="-1.874 -0.645 4.073 4.121 -0.460 1.823 0.168 4.872 0.849" Properties=species:S:1:pos:R:3 comment="BaCo2OsRu PBEsol relaxed" total_energy_ev_per_atom=-4.82 e_form_ev_per_atom=3.187 pbc="T T T"
Ru 1.208 1.883 3.373
Os 0.084 2.436 0.425
Ba 0.000 0.000 0.000
Co 2.060 -0.230 0.911
Co -0.937 -0.323 2.036

---

5
Lattice="4.724 0.000 0.000 0.000 4.724 0.000 0.000 0.000 5.141" Properties=species:S:1:pos:R:3 comment="BaTlCo2Os PBEsol relaxed" total_energy_ev_per_atom=-5.68 e_form_ev_per_atom=0.813 pbc="T T T"
Ba 2.362 2.362 2.571
Os 0.000 0.000 0.000
Tl 0.000 0.000 2.571
Co 0.000 2.362 0.000
Co 2.362 0.000 0.000